First-principles (PBE-GGA) data for a geometry-optimized RbP2H5O8 structure, as listed in Alexandria. Values from VASP.

Space-group type   C2/c, No. 15
Density of states at the Fermi level   0.0 states/eV/cell
DFT total energy   -95.578 eV/f.u.

Quantum ESPRESSO input file:
```
&SYSTEM
  ibrav = 0, nat = 32, ntyp = 4
/
ATOMIC_SPECIES
O 16.00 O.upf
H 1.01 H.upf
Rb 85.47 Rb.upf
P 30.97 P.upf
ATOMIC_POSITIONS angstrom
O 0.8932 -2.1677 1.9374
O 8.2039 -8.6913 4.4020
O 8.0722 -6.1845 4.1572
O 7.4548 -7.3490 6.3972
O 3.1793 -8.7960 2.6475
O 4.7823 -6.9029 2.2107
O 1.6423 -3.5100 -0.0579
O 1.0249 -4.6746 2.1821
O 6.7165 -4.4138 3.2470
O 5.9178 -2.0631 3.6919
O 2.3806 -6.4453 3.0923
O 3.1846 -3.3400 1.8725
O 6.2468 -3.6948 5.6561
O 5.9125 -7.5191 4.4668
O 4.3148 -3.9561 4.1286
O 2.8503 -7.1643 0.6832
H 3.8558 -3.7698 3.2359
H 5.1540 -3.9708 6.6451
H 4.9524 -7.7237 5.6004
H 7.3569 -5.3079 3.7408
H 3.9431 -6.8882 -0.3058
H 4.1446 -3.1353 0.7390
H 1.3889 -6.9194 0.1369
H 1.7402 -5.5512 2.5985
H 5.2413 -7.0892 3.1034
H 7.7082 -3.9397 6.2025
Rb 0.0000 0.0000 0.0000
Rb 3.5015 -0.2520 3.3294
P 3.2569 -7.2927 2.1500
P 7.3927 -7.3962 4.8235
P 1.7044 -3.4629 1.5158
P 5.8402 -3.5663 4.1893
CELL_PARAMETERS angstrom
-1.6744 -5.8147 2.6541
3.7685 -4.5403 -2.9736
7.0030 -0.5040 6.6588
```